Model P:
Entry from Alexandria via LeMat-Bulk: a geometry-optimized TcSb2TeI structure (GGA-PBE).

Results
N(E_F) = 1.00 states/eV/atom
total magnetization = 3.76 μB per formula unit

Cell: 5.7699 5.7699 5.6936 Å, 90.00 90.00 90.00°
Closest atoms and distances in Å follow each position.
Space group P4/mmm (No. 123)
Asymmetric unit:
Tc 0.0000 0.0000 0.0000 x1  8 Sb 4.05, 4 Te 4.08
Sb 0.0000 0.5000 0.5000 x2  2 I 2.88
Te 0.5000 0.5000 0.0000 x1  2 I 2.85
I 0.5000 0.5000 0.5000 x1  2 Te 2.85, 4 Sb 2.88

Model Q:
Entry from Alexandria via LeMat-Bulk: a geometry-optimized TcSb2TeI structure (GGA-PBE).

Results
N(E_F) = 0.98 states/eV/atom
total magnetization = 0.00 μB per formula unit

Cell: 5.2982 5.2982 5.1774 Å, 90.00 90.00 90.00°
Closest atoms and distances in Å follow each position.
Space group P4/mmm (No. 123)
Asymmetric unit:
Tc 0.0000 0.0000 0.0000 x1  2 Te 2.59, 4 Sb 2.65
Sb 0.0000 0.5000 0.0000 x2  2 Tc 2.65
Te 0.0000 0.0000 0.5000 x1  2 Tc 2.59
I 0.5000 0.5000 0.5000 x1  8 Sb 3.70, 4 Te 3.75

Which structure is the least stable? The one labeled model P.

Model P:
Entry from Alexandria via LeMat-Bulk: a geometry-optimized TcSb2TeI structure (GGA-PBE).

Results
N(E_F) = 0.99 states/eV/atom
total magnetization = 3.58 μB per formula unit

Cell: 5.8137 5.8137 5.7580 Å, 90.00 90.00 90.00°
Closest atoms and distances in Å follow each position.
Space group P4/mmm (No. 123)
Asymmetric unit:
Tc 0.0000 0.0000 0.0000 x1  8 Sb 4.09, 4 I 4.11
Sb 0.0000 0.5000 0.5000 x2  2 Te 2.91
Te 0.5000 0.5000 0.5000 x1  2 I 2.88, 4 Sb 2.91
I 0.5000 0.5000 0.0000 x1  2 Te 2.88

Model Q:
Entry from Alexandria via LeMat-Bulk: a geometry-optimized TcSb2TeI structure (GGA-PBE).

Results
N(E_F) = 0.94 states/eV/atom
total magnetization = 0.00 μB per formula unit

Cell: 5.1544 5.1544 5.4940 Å, 90.00 90.00 90.00°
Closest atoms and distances in Å follow each position.
Space group P4/mmm (No. 123)
Asymmetric unit:
Tc 0.0000 0.0000 0.0000 x1  4 Sb 2.58, 2 I 2.75
Sb 0.0000 0.5000 0.0000 x2  2 Tc 2.58
Te 0.5000 0.5000 0.5000 x1  4 I 3.64, 8 Sb 3.77
I 0.0000 0.0000 0.5000 x1  2 Tc 2.75

Which structure is the least stable? The one labeled model P.

Model P:
Entry from Alexandria via LeMat-Bulk: a geometry-optimized TcSbTe2I structure (GGA-PBE).

Results
N(E_F) = 0.80 states/eV/atom
total magnetization = 5.14 μB per formula unit

Cell: 5.8043 5.8043 5.7837 Å, 90.00 90.00 90.00°
Closest atoms and distances in Å follow each position.
Space group P4/mmm (No. 123)
Asymmetric unit:
Tc 0.0000 0.0000 0.0000 x1  8 Te 4.10, 4 I 4.10
Sb 0.5000 0.5000 0.5000 x1  2 I 2.89, 4 Te 2.90
Te 0.0000 0.5000 0.5000 x2  2 Sb 2.90
I 0.5000 0.5000 0.0000 x1  2 Sb 2.89

Model Q:
Entry from Alexandria via LeMat-Bulk: a geometry-optimized TcSbTe2I structure (GGA-PBE).

Results
N(E_F) = 1.37 states/eV/atom
total magnetization = 0.00 μB per formula unit

Cell: 5.1875 5.1875 5.4950 Å, 90.00 90.00 90.00°
Closest atoms and distances in Å follow each position.
Space group P4/mmm (No. 123)
Asymmetric unit:
Tc 0.0000 0.0000 0.0000 x1  4 Te 2.59, 2 I 2.75
Sb 0.5000 0.5000 0.5000 x1  4 I 3.67, 8 Te 3.78
Te 0.0000 0.5000 0.0000 x2  2 Tc 2.59
I 0.0000 0.0000 0.5000 x1  2 Tc 2.75

Which structure is the least stable? The one labeled model P.

Model P:
Entry from Alexandria via LeMat-Bulk: a geometry-optimized TcSbTe2I structure (GGA-PBE).

Results
N(E_F) = 1.16 states/eV/atom
total magnetization = 0.00 μB per formula unit

Cell: 5.2142 5.2142 5.4200 Å, 90.00 90.00 90.00°
Closest atoms and distances in Å follow each position.
Space group P4/mmm (No. 123)
Asymmetric unit:
Tc 0.0000 0.0000 0.0000 x1  4 Te 2.61, 2 Sb 2.71
Sb 0.0000 0.0000 0.5000 x1  2 Tc 2.71
Te 0.0000 0.5000 0.0000 x2  2 Tc 2.61
I 0.5000 0.5000 0.5000 x1  4 Sb 3.69, 8 Te 3.76

Model Q:
Entry from Alexandria via LeMat-Bulk: a geometry-optimized TcSbTe2I structure (GGA-PBE).

Results
N(E_F) = 1.15 states/eV/atom
total magnetization = 4.35 μB per formula unit

Cell: 5.7267 5.7267 5.8450 Å, 90.00 90.00 90.00°
Closest atoms and distances in Å follow each position.
Space group P4/mmm (No. 123)
Asymmetric unit:
Tc 0.0000 0.0000 0.0000 x1  4 Sb 4.05, 8 Te 4.09
Sb 0.5000 0.5000 0.0000 x1  2 I 2.92
Te 0.0000 0.5000 0.5000 x2  2 I 2.86
I 0.5000 0.5000 0.5000 x1  4 Te 2.86, 2 Sb 2.92

Which structure is the least stable? The one labeled model Q.